Below is Mn2SbF after structural relaxation, with properties calculated at the PBE+U level.

Output
E_tot: -46.84 eV for the cell shown
energy above the most stable polymorph in this dataset: 0 meV/atom

```
data_Mn2SbF
_chemical_formula_sum 'Mn4 Sb2 F2'
_symmetry_space_group_name_H-M 'P 1'
_symmetry_Int_Tables_number 1
_symmetry_space_group_name_Hall 'P 1'
_cell_length_a 5.4928
_cell_length_b 5.4928
_cell_length_c 7.3761
_cell_angle_alpha 68.14
_cell_angle_beta 68.14
_cell_angle_gamma 90.00
loop_
_atom_site_label
_atom_site_type_symbol
_atom_site_fract_x
_atom_site_fract_y
_atom_site_fract_z
Sb1 Sb 0.0000 0.0000 0.0000
Sb2 Sb 0.7500 0.2500 0.5000
Mn1 Mn 0.5451 0.1250 0.2500
Mn2 Mn 0.2049 0.6250 0.2500
Mn3 Mn 0.3750 0.4549 0.7500
Mn4 Mn 0.8750 0.7951 0.7500
F1 F 0.5000 0.5000 0.0000
F2 F 0.2500 0.7500 0.5000
```